Record 1
## CdP2Pt (PBE-GGA)

Data for crystalline CdP2Pt at its relaxed geometry.

The structure in POSCAR format:
```
CdP2Pt
1.0
-2.009 2.009 4.166
2.009 -2.009 4.166
2.009 2.009 -4.166
Cd P Pt
1 2 1
Direct
0.000 0.000 0.000
0.250 0.750 0.500
0.500 0.500 0.000
0.750 0.250 0.500
```

Properties
Calculated formation energy in meV/atom: 346
Electronic total energy in eV per atom: -4.098

---

Record 2
## CdP2Pt (PBE-GGA)

Data for crystalline CdP2Pt at its relaxed geometry.

The structure in POSCAR format:
```
CdP2Pt
1.0
1.663 0.960 7.107
-1.663 0.960 7.107
0.000 -1.921 7.107
Cd P Pt
1 2 1
Direct
0.000 0.000 0.000
0.235 0.235 0.235
0.505 0.505 0.505
0.768 0.768 0.768
```

Properties
Calculated formation energy in meV/atom: -62
Electronic total energy in eV per atom: -4.505

---

Record 3
## CdPPt5 (PBE-GGA)

Data for crystalline CdPPt5 at its relaxed geometry.

The structure in POSCAR format:
```
CdPPt5
1.0
3.974 0.000 0.000
0.000 3.974 0.000
0.000 0.000 7.137
Cd P Pt
1 1 5
Direct
0.000 0.000 0.000
0.500 0.500 0.500
0.000 0.500 0.299
0.000 0.500 0.701
0.500 0.000 0.299
0.500 0.000 0.701
0.500 0.500 0.000
```

Properties
Calculated formation energy in meV/atom: -352
Electronic total energy in eV per atom: -5.571

---

Record 4
## Cd3P2Pt9 (PBE-GGA)

Data for crystalline Cd3P2Pt9 at its relaxed geometry.

The structure in POSCAR format:
```
Cd3P2Pt9
1.0
5.626 0.000 0.000
-2.813 4.872 0.000
0.000 0.000 17.947
Cd P Pt
6 4 18
Direct
0.000 0.000 0.250
0.000 0.000 0.750
0.333 0.667 0.101
0.333 0.667 0.399
0.667 0.333 0.601
0.667 0.333 0.899
0.333 0.667 0.654
0.333 0.667 0.846
0.667 0.333 0.154
0.667 0.333 0.346
0.007 0.504 0.250
0.165 0.330 0.564
0.165 0.330 0.936
0.165 0.835 0.564
0.165 0.835 0.936
0.330 0.165 0.064
0.330 0.165 0.436
0.496 0.504 0.250
0.496 0.993 0.250
0.504 0.007 0.750
0.504 0.496 0.750
0.670 0.835 0.564
0.670 0.835 0.936
0.835 0.165 0.064
0.835 0.165 0.436
0.835 0.670 0.064
0.835 0.670 0.436
0.993 0.496 0.750
```

Properties
Calculated formation energy in meV/atom: -323
Electronic total energy in eV per atom: -5.175

---

Record 5
## CdP2Pt (PBE-GGA)

Data for crystalline CdP2Pt at its relaxed geometry.

The structure in POSCAR format:
```
CdP2Pt
1.0
2.928 0.000 0.000
0.000 2.928 0.000
0.000 0.000 8.776
Cd P Pt
1 2 1
Direct
0.000 0.000 0.000
0.500 0.500 0.317
0.500 0.500 0.683
0.000 0.000 0.500
```

Properties
Calculated formation energy in meV/atom: 227
Electronic total energy in eV per atom: -4.217

---

Record 6
## Cd2PPt (PBE-GGA)

Data for crystalline Cd2PPt at its relaxed geometry.

The structure in POSCAR format:
```
Cd2PPt
1.0
1.505 0.869 9.344
-1.505 0.869 9.344
0.000 -1.738 9.344
Cd P Pt
2 1 1
Direct
0.248 0.248 0.248
0.752 0.752 0.752
0.000 0.000 0.000
0.500 0.500 0.500
```

Properties
Calculated formation energy in meV/atom: 165
Electronic total energy in eV per atom: -3.155

---

Record 7
## CdPPt (PBE-GGA)

Data for crystalline CdPPt at its relaxed geometry.

The structure in POSCAR format:
```
CdPPt
1.0
0.000 3.078 3.078
3.078 0.000 3.078
3.078 3.078 0.000
Cd P Pt
1 1 1
Direct
0.000 0.000 0.000
0.500 0.500 0.500
0.750 0.750 0.750
```

Properties
Energy above the most stable polymorph in this dataset in eV/atom: 0.205
Calculated formation energy in meV/atom: -54
Electronic total energy in eV per atom: -4.176

---

Record 8
## CdP2Pt (PBE-GGA)

Data for crystalline CdP2Pt at its relaxed geometry.

The structure in POSCAR format:
```
CdP2Pt
1.0
-2.475 2.475 2.762
2.475 -2.475 2.762
2.475 2.475 -2.762
Cd P Pt
1 2 1
Direct
0.000 0.000 0.000
0.250 0.750 0.500
0.750 0.250 0.500
0.500 0.500 0.000
```

Properties
Calculated formation energy in meV/atom: 302
Electronic total energy in eV per atom: -4.141

---

Record 9
## Cd2PPt (PBE-GGA)

Data for crystalline Cd2PPt at its relaxed geometry.

The structure in POSCAR format:
```
Cd2PPt
1.0
2.906 -4.109 0.000
2.906 4.109 0.000
0.000 0.000 3.023
Cd P Pt
2 1 1
Direct
0.000 0.500 0.000
0.500 0.000 0.000
0.000 0.000 0.500
0.500 0.500 0.500
```

Properties
Calculated formation energy in meV/atom: 41
Electronic total energy in eV per atom: -3.279

---

Record 10
## CdPPt (PBE-GGA)

Data for crystalline CdPPt at its relaxed geometry.

The structure in POSCAR format:
```
CdPPt
1.0
-1.633 1.633 5.009
1.633 -1.633 5.009
1.633 1.633 -5.009
Cd P Pt
1 1 1
Direct
0.000 0.000 0.000
0.706 0.706 0.000
0.303 0.303 0.000
```

Properties
Energy above the most stable polymorph in this dataset in eV/atom: 0.201
Calculated formation energy in meV/atom: -59
Electronic total energy in eV per atom: -4.180

---

Record 11
## CdP2Pt (PBE-GGA)

Data for crystalline CdP2Pt at its relaxed geometry.

The structure in POSCAR format:
```
CdP2Pt
1.0
4.317 0.000 0.000
0.000 3.643 0.000
-1.346 0.000 4.878
Cd P Pt
1 2 1
Direct
0.000 0.000 0.000
0.230 0.500 0.656
0.770 0.500 0.344
0.500 0.000 0.500
```

Properties
Calculated formation energy in meV/atom: -231
Electronic total energy in eV per atom: -4.674

---

Record 12
## CdPPt (PBE-GGA)

Data for crystalline CdPPt at its relaxed geometry.

The structure in POSCAR format:
```
CdPPt
1.0
3.441 0.000 0.000
1.697 3.900 0.000
1.696 -0.186 4.484
Cd P Pt
1 1 1
Direct
0.000 0.000 0.000
0.880 0.722 0.520
0.531 0.335 0.599
```

Properties
Energy above the most stable polymorph in this dataset in eV/atom: 0.000
Calculated formation energy in meV/atom: -259
Electronic total energy in eV per atom: -4.381

---

Record 13
## Cd2PPt (PBE-GGA)

Data for crystalline Cd2PPt at its relaxed geometry.

The structure in POSCAR format:
```
Cd2PPt
1.0
4.160 0.000 0.000
0.000 3.630 0.000
-2.075 0.000 5.144
Cd P Pt
2 1 1
Direct
0.000 0.000 0.000
0.318 0.500 0.624
0.741 0.000 0.466
0.586 0.500 0.177
```

Properties
Calculated formation energy in meV/atom: -171
Electronic total energy in eV per atom: -3.491

---

Record 14
## CdP2Pt (PBE-GGA)

Data for crystalline CdP2Pt at its relaxed geometry.

The structure in POSCAR format:
```
CdP2Pt
1.0
5.109 -2.037 0.000
5.109 2.037 0.000
-0.001 0.000 4.019
Cd P Pt
1 2 1
Direct
0.000 0.000 0.000
0.172 0.172 0.500
0.406 0.406 0.500
0.792 0.792 0.501
```

Properties
Calculated formation energy in meV/atom: -27
Electronic total energy in eV per atom: -4.471

---

Record 15
## CdPPt4 (PBE-GGA)

Data for crystalline CdPPt4 at its relaxed geometry.

The structure in POSCAR format:
```
CdPPt4
1.0
0.000 3.756 3.756
3.756 0.000 3.756
3.756 3.756 0.000
Cd P Pt
1 1 4
Direct
0.000 0.000 0.000
0.250 0.250 0.250
0.126 0.625 0.625
0.625 0.126 0.625
0.625 0.625 0.126
0.625 0.625 0.625
```

Properties
Energy above the most stable polymorph in this dataset in eV/atom: 0.483
Calculated formation energy in meV/atom: 210
Electronic total energy in eV per atom: -4.871

---

Record 16
## CdP3Pt (PBE-GGA)

Data for crystalline CdP3Pt at its relaxed geometry.

The structure in POSCAR format:
```
CdP3Pt
1.0
4.759 0.000 0.000
0.000 4.759 0.000
0.000 0.000 4.759
Cd P Pt
1 3 1
Direct
0.000 0.000 0.000
0.000 0.500 0.500
0.500 0.000 0.500
0.500 0.500 0.000
0.500 0.500 0.500
```

Properties
Energy above the most stable polymorph in this dataset in eV/atom: 0.000
Calculated formation energy in meV/atom: 730
Electronic total energy in eV per atom: -3.907

---

Record 17
## RbCdP2Pt4 (PBE-GGA)

Data for crystalline RbCdP2Pt4 at its relaxed geometry.

The structure in POSCAR format:
```
RbCdP2Pt4
1.0
4.037 0.000 0.000
0.000 4.037 0.000
0.000 0.000 10.686
Rb Cd P Pt
1 1 2 4
Direct
0.000 0.000 0.000
0.000 0.000 0.500
0.500 0.500 0.201
0.500 0.500 0.799
0.000 0.500 0.308
0.000 0.500 0.692
0.500 0.000 0.308
0.500 0.000 0.692
```

Properties
Calculated formation energy in meV/atom: -456
Electronic total energy in eV per atom: -5.064

---

Record 18
## CdP2PtS (PBE-GGA)

Data for crystalline CdP2PtS at its relaxed geometry.

The structure in POSCAR format:
```
CdP2PtS
1.0
4.874 0.000 0.000
0.000 4.874 0.000
0.000 0.000 4.823
Cd P Pt S
1 2 1 1
Direct
0.000 0.000 0.000
0.000 0.500 0.000
0.500 0.000 0.000
0.500 0.500 0.500
0.000 0.000 0.500
```

Properties
Energy above the most stable polymorph in this dataset in eV/atom: 0.962
E_form (uncorrected) in kJ per mole of atoms: 148.4
Electronic total energy in eV per atom: -2.842

---

Record 19
## CdPPtS2 (PBE-GGA)

Data for crystalline CdPPtS2 at its relaxed geometry.

The structure in POSCAR format:
```
CdPPtS2
1.0
5.057 0.000 0.000
0.000 5.057 0.000
0.000 0.000 4.357
Cd P Pt S
1 1 1 2
Direct
0.000 0.000 0.000
0.500 0.500 0.000
0.500 0.500 0.500
0.000 0.500 0.500
0.500 0.000 0.500
```

Properties
Energy above the most stable polymorph in this dataset in eV/atom: 0.000
E_form (uncorrected) in kJ per mole of atoms: 42.5
Electronic total energy in eV per atom: -3.684

---

Record 20
## CdP2PtS (PBE-GGA)

Data for crystalline CdP2PtS at its relaxed geometry.

The structure in POSCAR format:
```
CdP2PtS
1.0
4.594 0.000 0.000
0.000 4.594 0.000
0.000 0.000 5.208
Cd P Pt S
1 2 1 1
Direct
0.000 0.000 0.000
0.000 0.500 0.500
0.500 0.000 0.500
0.500 0.500 0.500
0.500 0.500 0.000
```

Properties
Energy above the most stable polymorph in this dataset in eV/atom: 0.000
E_form (uncorrected) in kJ per mole of atoms: 55.6
Electronic total energy in eV per atom: -3.805